(1)
# PBE CeNiSb2, relaxed
data_CeNiSb2
_symmetry_space_group_name_H-M 'P 4/n m m'
_symmetry_Int_Tables_number 129
_cell_length_a 4.390
_cell_length_b 4.390
_cell_length_c 9.494
_cell_angle_alpha 90.00
_cell_angle_beta 90.00
_cell_angle_gamma 90.00
loop_
_symmetry_equiv_pos_as_xyz
'x,y,z'
'-x,-y,-z'
'-y+1/2,x,z'
'y+1/2,-x,-z'
'-x+1/2,-y+1/2,z'
'x+1/2,y+1/2,-z'
'y,-x+1/2,z'
'-y,x+1/2,-z'
'x+1/2,-y,-z'
'-x+1/2,y,z'
'-y,-x,-z'
'y,x,z'
'-x,y+1/2,-z'
'x,-y+1/2,z'
'y+1/2,x+1/2,-z'
'-y+1/2,-x+1/2,z'
loop_
_atom_site_label
_atom_site_fract_x
_atom_site_fract_y
_atom_site_fract_z
Ce1 0.250 0.250 0.235
Ni1 0.250 0.750 0.000
Sb1 0.250 0.250 0.855
Sb2 0.250 0.750 0.500
# N(E_F) (states/eV/f.u.): 4.22
# Total energy (eV/atom): -5.7135
# Theoretical density (g cm⁻³): 8.0
# Formation energy from raw total energies (meV per atom): -723
# M_tot (μB/atom): 0.000



(2)
# PBE Ce2Ni4SnSb3, relaxed
data_Ce2Ni4SnSb3
_symmetry_space_group_name_H-M 'P -4 m 2'
_symmetry_Int_Tables_number 115
_symmetry_space_group_name_Hall 'P -4 -2'
_cell_length_a 4.451
_cell_length_b 4.451
_cell_length_c 10.019
_cell_angle_alpha 90.00
_cell_angle_beta 90.00
_cell_angle_gamma 90.00
loop_
_atom_site_label
_atom_site_fract_x
_atom_site_fract_y
_atom_site_fract_z
Ce1 0.000 0.500 0.237
Ni1 0.000 0.000 0.000
Ni2 0.000 0.500 0.626
Ni3 0.500 0.500 0.000
Sn1 0.000 0.000 0.500
Sb1 0.000 0.500 0.873
Sb2 0.500 0.500 0.500
# N(E_F) (states/eV/f.u.): 13.29
# Total energy (eV/atom): -5.7505
# Theoretical density (g cm⁻³): 8.4
# Formation energy from raw total energies (meV per atom): -614
# M_tot (μB/atom): 0.118



(3)
# PBE SrCeNi2Sb2, relaxed
data_SrCeNi2Sb2
_symmetry_space_group_name_H-M 'P -3 m 1'
_symmetry_Int_Tables_number 164
_symmetry_space_group_name_Hall '-P 3 2"'
_cell_length_a 4.3846
_cell_length_b 4.3846
_cell_length_c 8.5820
_cell_angle_alpha 90.00
_cell_angle_beta 90.00
_cell_angle_gamma 120.00
loop_
_atom_site_label
_atom_site_fract_x
_atom_site_fract_y
_atom_site_fract_z
Sr1 0.0000 0.0000 0.0000
Ce1 0.0000 0.0000 0.5000
Ni1 0.3333 0.6667 0.2988
Sb1 0.3333 0.6667 0.7384
# N(E_F) (states/eV/f.u.): 3.58
# Total energy (eV/atom): -5.3245
# Theoretical density (g cm⁻³): 6.8
# Formation energy from raw total energies (meV per atom): -754
# M_tot (μB/atom): 0.044



(4)
# PBE Ce2TiNi4Sb3, relaxed
data_Ce2TiNi4Sb3
_symmetry_space_group_name_H-M 'P -4 m 2'
_symmetry_Int_Tables_number 115
_symmetry_space_group_name_Hall 'P -4 -2'
_cell_length_a 4.308
_cell_length_b 4.308
_cell_length_c 10.256
_cell_angle_alpha 90.00
_cell_angle_beta 90.00
_cell_angle_gamma 90.00
loop_
_atom_site_label
_atom_site_fract_x
_atom_site_fract_y
_atom_site_fract_z
Ce1 0.000 0.500 0.242
Ti1 0.000 0.000 0.500
Ni1 0.000 0.000 0.000
Ni2 0.000 0.500 0.626
Ni3 0.500 0.500 0.000
Sb1 0.000 0.500 0.869
Sb2 0.500 0.500 0.500
# N(E_F) (states/eV/f.u.): 13.02
# Total energy (eV/atom): -6.1442
# Theoretical density (g cm⁻³): 8.1
# Formation energy from raw total energies (meV per atom): -619
# M_tot (μB/atom): 0.089



(5)
# PBE CeSc2Ni9, relaxed
data_CeSc2Ni9
_symmetry_space_group_name_H-M 'R -3 m'
_symmetry_Int_Tables_number 166
_symmetry_space_group_name_Hall '-R 3 2"'
_cell_length_a 4.8776
_cell_length_b 4.8776
_cell_length_c 23.9349
_cell_angle_alpha 90.00
_cell_angle_beta 90.00
_cell_angle_gamma 120.00
loop_
_atom_site_label
_atom_site_fract_x
_atom_site_fract_y
_atom_site_fract_z
Ce1 0.0000 0.0000 0.0000
Sc1 0.0000 0.0000 0.1418
Ni1 0.0000 0.0000 0.3335
Ni2 0.0000 0.0000 0.5000
Ni3 0.0031 0.5015 0.9146
# N(E_F) (states/eV/f.u.): 14.09
# Total energy (eV/atom): -6.3371
# Theoretical density (g cm⁻³): 7.7
# M_tot (μB/atom): 0.000
# ΔH_f (0 K) (eV/atom): -0.45



(6)
# PBE CeSc2Ni, relaxed
data_CeSc2Ni
_symmetry_space_group_name_H-M 'R 3 m'
_symmetry_Int_Tables_number 160
_symmetry_space_group_name_Hall 'R 3 -2"'
_cell_length_a 3.4112
_cell_length_b 3.4112
_cell_length_c 27.1288
_cell_angle_alpha 90.00
_cell_angle_beta 90.00
_cell_angle_gamma 120.00
loop_
_atom_site_label
_atom_site_fract_x
_atom_site_fract_y
_atom_site_fract_z
Ce1 0.0000 0.0000 0.0000
Sc1 0.0000 0.0000 0.2308
Sc2 0.0000 0.0000 0.4426
Ni1 0.0000 0.0000 0.8366
# N(E_F) (states/eV/f.u.): 8.12
# Total energy (eV/atom): -6.1358
# Theoretical density (g cm⁻³): 5.3
# M_tot (μB/atom): 0.270
# ΔH_f (0 K) (eV/atom): -0.04



(7)
# PBE CeScNi2, relaxed
data_CeScNi2
_symmetry_space_group_name_H-M 'A m m 2'
_symmetry_Int_Tables_number 38
_symmetry_space_group_name_Hall 'A 2 -2'
_cell_length_a 4.310
_cell_length_b 3.473
_cell_length_c 9.800
_cell_angle_alpha 90.00
_cell_angle_beta 90.00
_cell_angle_gamma 90.00
loop_
_atom_site_label
_atom_site_fract_x
_atom_site_fract_y
_atom_site_fract_z
Ce1 0.000 0.000 0.000
Sc1 0.500 0.000 0.723
Ni1 0.000 0.000 0.276
Ni2 0.500 0.000 0.437
# N(E_F) (states/eV/f.u.): 4.48
# Total energy (eV/atom): -6.3745
# Theoretical density (g cm⁻³): 6.8
# M_tot (μB/atom): 0.000
# ΔH_f (0 K) (eV/atom): -0.42



(8)
# PBE Ce3ScNi8, relaxed
data_Ce3ScNi8
_symmetry_space_group_name_H-M 'R 3 m'
_symmetry_Int_Tables_number 160
_symmetry_space_group_name_Hall 'R 3 -2"'
_cell_length_a 5.0368
_cell_length_b 5.0368
_cell_length_c 24.6823
_cell_angle_alpha 90.00
_cell_angle_beta 90.00
_cell_angle_gamma 120.00
loop_
_atom_site_label
_atom_site_fract_x
_atom_site_fract_y
_atom_site_fract_z
Ce1 0.0000 0.0000 0.0000
Ce2 0.0000 0.0000 0.1262
Ce3 0.0000 0.0000 0.6290
Sc1 0.0000 0.0000 0.5043
Ni1 0.0000 0.0000 0.3149
Ni2 0.0000 0.0000 0.8152
Ni3 0.0043 0.5022 0.0671
Ni4 0.1679 0.3358 0.8958
# N(E_F) (states/eV/f.u.): 14.79
# Total energy (eV/atom): -6.2700
# Theoretical density (g cm⁻³): 8.6
# M_tot (μB/atom): 0.000
# ΔH_f (0 K) (eV/atom): -0.40



(9)
# PBE Ce2ScNi9, relaxed
data_Ce2ScNi9
_symmetry_space_group_name_H-M 'P 63/m m c'
_symmetry_Int_Tables_number 194
_symmetry_space_group_name_Hall '-P 6c 2c'
_cell_length_a 4.8758
_cell_length_b 4.8758
_cell_length_c 16.4700
_cell_angle_alpha 90.00
_cell_angle_beta 90.00
_cell_angle_gamma 120.00
loop_
_atom_site_label
_atom_site_fract_x
_atom_site_fract_y
_atom_site_fract_z
Ce1 0.3333 0.6667 0.0439
Sc1 0.3333 0.6667 0.2500
Ni1 0.0000 0.0000 0.0000
Ni2 0.0000 0.0000 0.2500
Ni3 0.1664 0.3328 0.6288
Ni4 0.3333 0.6667 0.7500
# N(E_F) (states/eV/f.u.): 16.80
# Total energy (eV/atom): -6.2257
# Theoretical density (g cm⁻³): 8.4
# M_tot (μB/atom): 0.000
# ΔH_f (0 K) (eV/atom): -0.37



(10)
# PBE Ce2ScNi9, relaxed
data_Ce2ScNi9
_symmetry_space_group_name_H-M 'R -3 m'
_symmetry_Int_Tables_number 166
_symmetry_space_group_name_Hall '-R 3 2"'
_cell_length_a 4.8779
_cell_length_b 4.8779
_cell_length_c 24.6815
_cell_angle_alpha 90.00
_cell_angle_beta 90.00
_cell_angle_gamma 120.00
loop_
_atom_site_label
_atom_site_fract_x
_atom_site_fract_y
_atom_site_fract_z
Ce1 0.0000 0.0000 0.1371
Sc1 0.0000 0.0000 0.0000
Ni1 0.0000 0.0000 0.3329
Ni2 0.0000 0.0000 0.5000
Ni3 0.0000 0.5000 0.0810
# N(E_F) (states/eV/f.u.): 14.82
# Total energy (eV/atom): -6.2274
# Theoretical density (g cm⁻³): 8.4
# M_tot (μB/atom): 0.000
# ΔH_f (0 K) (eV/atom): -0.37



(11)
# PBE CeScNi2, relaxed
data_CeScNi2
_symmetry_space_group_name_H-M 'P 4/m m m'
_symmetry_Int_Tables_number 123
_symmetry_space_group_name_Hall '-P 4 2'
_cell_length_a 3.153
_cell_length_b 3.153
_cell_length_c 7.023
_cell_angle_alpha 90.00
_cell_angle_beta 90.00
_cell_angle_gamma 90.00
loop_
_atom_site_label
_atom_site_fract_x
_atom_site_fract_y
_atom_site_fract_z
Ce1 0.000 0.000 0.000
Sc1 0.000 0.000 0.500
Ni1 0.500 0.500 0.284
# N(E_F) (states/eV/f.u.): 4.32
# Total energy (eV/atom): -6.3224
# Theoretical density (g cm⁻³): 7.2
# M_tot (μB/atom): 0.000
# ΔH_f (0 K) (eV/atom): -0.37



(12)
# PBE CeSc2Ni9, relaxed
data_CeSc2Ni9
_symmetry_space_group_name_H-M 'P 63/m m c'
_symmetry_Int_Tables_number 194
_symmetry_space_group_name_Hall '-P 6c 2c'
_cell_length_a 4.8820
_cell_length_b 4.8820
_cell_length_c 15.9257
_cell_angle_alpha 90.00
_cell_angle_beta 90.00
_cell_angle_gamma 120.00
loop_
_atom_site_label
_atom_site_fract_x
_atom_site_fract_y
_atom_site_fract_z
Ce1 0.3333 0.6667 0.2500
Sc1 0.3333 0.6667 0.0375
Ni1 0.0000 0.0000 0.0000
Ni2 0.0000 0.0000 0.2500
Ni3 0.1680 0.3361 0.6219
Ni4 0.3333 0.6667 0.7500
# N(E_F) (states/eV/f.u.): 11.79
# Total energy (eV/atom): -6.3364
# Theoretical density (g cm⁻³): 7.7
# M_tot (μB/atom): 0.000
# ΔH_f (0 K) (eV/atom): -0.45